[1]
The following is a DFT calculation (GGA-PBE) of a relaxed structure of AlRu.

Values from the calculation:
* energy of formation: -0.353 eV/atom
* SG: I4_1/amd (141)
* size of the total moment: 0.0 μB per cell
* calculated volume: 56.2 Å³/cell

Structure (POSCAR):
```
AlRu
1.0
4.988 0.011 0.000
2.344 4.403 0.000
-3.666 -2.207 2.563
Ru Al
2 2
Direct
0.500 0.500 0.000 Ru
0.750 0.250 0.500 Ru
0.000 0.000 0.000 Al
0.250 0.750 0.500 Al
```

***

[2]
The following is a DFT calculation (GGA-PBE) of a relaxed structure of ScPtIN2.

Values from the calculation:
* distance to the lowest polymorph of the same formula: 0 meV/atom
* SG: P4/mmm (123)
* size of the total moment: 1.4 μB per cell
* calculated volume: 103.6 Å³/cell
* E_form (uncorrected): 0.92 eV/atom

Structure (POSCAR):
```
ScPtIN2
1.0
4.046 0.000 0.000
0.000 4.046 0.000
0.000 0.000 6.326
I Sc Pt N
1 1 1 2
Direct
0.000 0.000 0.500 I
0.000 0.000 0.000 Sc
0.500 0.500 0.500 Pt
0.000 0.500 0.000 N
0.500 0.000 0.000 N
```